(1)
Compound: Rb3Hg4Sb2
Source: Alexandria via LeMat-Bulk
Functional: PBE-GGA
Structure: optimized geometry

Summary:
total DFT energy (no corrections)	-1.71	eV/atom
formation energy from raw total energies	-0.34	eV/atom

Lattice parameters (Å, degrees): 13.502 5.032 10.382 90.00 100.49 90.00
Space group C2/m (No. 12)
Asymmetric unit:
Rb 0.000 0.000 0.000 (multiplicity 2)
Rb 0.170 0.500 0.657 (multiplicity 4)
Hg 0.052 0.000 0.386 (multiplicity 4)
Hg 0.219 0.500 0.059 (multiplicity 4)
Sb 0.104 0.500 0.275 (multiplicity 4)

=====

(2)
Compound: LaPm2HoTl2
Source: Alexandria via LeMat-Bulk
Functional: PBE-GGA
Structure: optimized geometry

Summary:
total DFT energy (no corrections)	-4.23	eV/atom
E_form	-271	meV/atom

Lattice parameters (Å, degrees): 5.242 10.263 6.931 90.00 90.00 90.00
Space group Pmc2_1 (No. 26)
Asymmetric unit:
La 0.000 0.044 0.000 (multiplicity 2)
Pm 0.000 0.319 0.376 (multiplicity 2)
Pm 0.500 0.453 0.097 (multiplicity 2)
Ho 0.500 0.193 0.721 (multiplicity 2)
Tl 0.000 0.361 0.840 (multiplicity 2)
Tl 0.500 0.132 0.267 (multiplicity 2)

=====

(3)
Compound: NaPr2Pt9
Source: Alexandria via LeMat-Bulk
Functional: PBE-GGA
Structure: optimized geometry

Summary:
total DFT energy (no corrections)	-6.11	eV/atom
E_form	-676	meV/atom

Lattice parameters (Å, degrees): 5.4949 5.4949 26.5090 90.00 90.00 120.00
Space group R-3m (No. 166, hexagonal axes)
Asymmetric unit:
Na 0.0000 0.0000 0.0000 (multiplicity 3)
Pr 0.0000 0.0000 0.1363 (multiplicity 6)
Pt 0.0000 0.0000 0.3321 (multiplicity 6)
Pt 0.0000 0.0000 0.5000 (multiplicity 3)
Pt 0.0040 0.5020 0.9162 (multiplicity 18)

=====

(4)
Compound: CsZn3H
Source: Alexandria via LeMat-Bulk
Functional: PBE-GGA
Structure: optimized geometry

Summary:
total DFT energy (no corrections)	-0.59	eV/atom

Lattice parameters (Å, degrees): 7.271 7.271 7.271 90.00 90.00 90.00
Space group Pm-3m (No. 221)
Asymmetric unit:
Cs 0.000 0.000 0.000 (multiplicity 1)
Zn 0.000 0.000 0.500 (multiplicity 3)
H 0.500 0.500 0.500 (multiplicity 1)

=====

(5)
Compound: Pm2Bi2Rh3
Source: Alexandria via LeMat-Bulk
Functional: PBE-GGA
Structure: optimized geometry

Summary:
total DFT energy (no corrections)	-6.24	eV/atom
E_form	-624	meV/atom

Lattice parameters (Å, degrees): 8.735 8.735 8.735 90.00 90.00 90.00
Space group I2_13 (No. 199)
Asymmetric unit:
Pm 0.012 0.012 0.012 (multiplicity 8)
Bi 0.201 0.299 0.701 (multiplicity 8)
Rh 0.000 0.250 0.234 (multiplicity 12)

=====

(6)
Compound: MgTcN2F
Source: Alexandria via LeMat-Bulk
Functional: PBE-GGA
Structure: optimized geometry

Summary:
total DFT energy (no corrections)	-6.39	eV/atom
formation energy from raw total energies	-0.29	eV/atom

Lattice parameters (Å, degrees): 3.882 3.882 4.126 90.00 90.00 90.00
Space group P4/mmm (No. 123)
Asymmetric unit:
Mg 0.000 0.000 0.000 (multiplicity 1)
Tc 0.500 0.500 0.500 (multiplicity 1)
N 0.000 0.500 0.500 (multiplicity 2)
F 0.500 0.500 0.000 (multiplicity 1)